First-principles (PBE) data for crystalline LiSb2OsW at its relaxed geometry, as listed in Alexandria via LeMat-Bulk.

Calculated values
ΔE_f (raw) in meV/atom: 1159

```
5
Lattice="5.1722 0.0000 0.0000 0.0000 5.1722 0.0000 0.0000 0.0000 4.9715" Properties=species:S:1:pos:R:3 pbc="T T T"
Li 0.0000 0.0000 0.0000
Sb 0.0000 2.5861 2.4858
Sb 2.5861 0.0000 2.4858
Os 2.5861 2.5861 2.4858
W 2.5861 2.5861 0.0000
```